# SrSb2W

Crystalline SrSb2W at its relaxed geometry (PBE, Alexandria).

```
SrSb2W
1.0
-2.212 2.212 5.188
2.212 -2.212 5.188
2.212 2.212 -5.188
Sr Sb W
1 2 1
direct
0.000 0.000 0.000
0.500 0.500 0.000
0.750 0.250 0.500
0.250 0.750 0.500
```

Computed properties:
- Energy above the most stable polymorph in this dataset: 2.166 eV per formula unit
- Uncorrected formation energy: 533 meV per atom
- Space-group type: No. 119
- Density of states at the Fermi level: 0.554 states/eV per atom


# SrSb3W

Crystalline SrSb3W at its relaxed geometry (PBE, Alexandria).

```
SrSb3W
1.0
5.755 0.000 0.000
0.000 5.755 0.000
0.000 0.000 5.755
Sr Sb W
1 3 1
direct
0.000 0.000 0.000
0.000 0.000 0.500
0.000 0.500 0.000
0.500 0.000 0.000
0.500 0.500 0.500
```

Computed properties:
- Energy above the most stable polymorph in this dataset: 10.141 eV per formula unit
- Uncorrected formation energy: 2202 meV per atom
- Space-group type: No. 221
- Density of states at the Fermi level: 1.829 states/eV per atom


# SrSb2W

Crystalline SrSb2W at its relaxed geometry (PBE, Alexandria).

```
SrSb2W
1.0
2.011 -2.400 0.000
2.011 2.400 0.000
0.000 0.000 11.204
Sr Sb W
1 2 1
direct
0.000 0.000 0.000
0.000 0.000 0.412
0.500 0.500 0.752
0.500 0.500 0.234
```

Computed properties:
- Energy above the most stable polymorph in this dataset: 1.998 eV per formula unit
- Uncorrected formation energy: 491 meV per atom
- Space-group type: No. 35
- Density of states at the Fermi level: 0.497 states/eV per atom


# SrSb2W

Crystalline SrSb2W at its relaxed geometry (PBE, Alexandria).

```
SrSb2W
1.0
3.622 -2.004 0.000
3.622 2.004 0.000
-2.219 0.000 7.544
Sr Sb W
1 2 1
direct
0.000 0.000 0.000
0.233 0.233 0.698
0.767 0.767 0.302
0.500 0.500 0.500
```

Computed properties:
- Energy above the most stable polymorph in this dataset: 0.145 eV per formula unit
- Uncorrected formation energy: 28 meV per atom
- Space-group type: No. 12
- Density of states at the Fermi level: 0.632 states/eV per atom


# SrSb2W

Crystalline SrSb2W at its relaxed geometry (PBE, Alexandria).

```
SrSb2W
1.0
5.084 0.000 0.000
0.000 5.084 0.000
0.000 0.000 3.749
Sr Sb W
1 2 1
direct
0.000 0.000 0.000
0.000 0.500 0.500
0.500 0.000 0.500
0.500 0.500 0.000
```

Computed properties:
- Energy above the most stable polymorph in this dataset: 2.180 eV per formula unit
- Uncorrected formation energy: 537 meV per atom
- Space-group type: No. 123
- Density of states at the Fermi level: 1.236 states/eV per atom


# SrSb2W

Crystalline SrSb2W at its relaxed geometry (PBE, Alexandria).

```
SrSb2W
1.0
0.000 3.684 3.684
3.684 0.000 3.684
3.684 3.684 0.000
Sr Sb W
1 2 1
direct
0.000 0.000 0.000
0.500 0.500 0.500
0.750 0.750 0.750
0.250 0.250 0.250
```

Computed properties:
- Energy above the most stable polymorph in this dataset: 3.133 eV per formula unit
- Uncorrected formation energy: 775 meV per atom
- Space-group type: No. 216
- Density of states at the Fermi level: 0.655 states/eV per atom


# SrSb2W

Crystalline SrSb2W at its relaxed geometry (PBE, Alexandria).

```
SrSb2W
1.0
-4.033 4.033 3.625
4.033 -4.033 3.625
4.033 4.033 -3.625
Sr Sb W
2 4 2
direct
0.000 0.000 0.000
0.750 0.250 0.500
0.188 0.625 0.063
0.375 0.438 0.563
0.562 0.125 0.937
0.875 0.812 0.437
0.250 0.750 0.500
0.500 0.500 0.000
```

Computed properties:
- Energy above the most stable polymorph in this dataset: 1.054 eV per formula unit
- Uncorrected formation energy: 255 meV per atom
- Space-group type: No. 122
- Density of states at the Fermi level: 0.417 states/eV per atom


# Sr4SbW

Crystalline Sr4SbW at its relaxed geometry (PBE, Alexandria).

```
Sr4SbW
1.0
0.000 4.770 4.770
4.770 0.000 4.770
4.770 4.770 0.000
Sr Sb W
4 1 1
direct
0.125 0.125 0.125
0.125 0.125 0.626
0.125 0.626 0.125
0.626 0.125 0.125
0.500 0.500 0.500
0.750 0.750 0.750
```

Computed properties:
- Uncorrected formation energy: 1045 meV per atom
- Space-group type: No. 216
- Density of states at the Fermi level: 0.696 states/eV per atom


Which value of density of states at the Fermi level does entry 1 give?
0.554 states/eV per atom